1.
This record from Alexandria via LeMat-Bulk describes an optimized crystal structure of Tb7Sm2Er4. The functional is GGA-PBE.

POSCAR file:
```
Tb7Sm2Er4
1.0
6.0717 0.0000 0.0000
-3.0359 5.2583 0.0000
0.0000 0.0000 13.2235
Er Tb Sm
4 7 2
direct
0.0000 0.0000 0.3945
0.0000 0.0000 0.6055
0.3333 0.6667 0.5000
0.6667 0.3333 0.5000
0.6415 0.0000 0.7810
0.3585 0.3585 0.7810
0.0000 0.6415 0.7810
0.0000 0.0000 0.0000
0.3585 0.0000 0.2190
0.0000 0.3585 0.2190
0.6415 0.6415 0.2190
0.6667 0.3333 0.0000
0.3333 0.6667 0.0000
```

Summary:
D(E_F): 1.3458 states/eV per atom
E_tot: -57.715 eV per cell
spin magnetization: 0.00 μB/cell

***

2.
This record from Alexandria via LeMat-Bulk describes an optimized crystal structure of Tb3Sm3Er4. The functional is GGA-PBE.

POSCAR file:
```
Tb3Sm3Er4
1.0
3.6634 0.0000 0.0000
0.0000 9.4157 -0.0504
0.0000 0.0324 9.4158
Sm Tb Er
3 3 4
direct
0.5000 0.8263 0.1737
0.5000 0.6739 0.6745
0.5000 0.3255 0.3261
0.5000 0.1742 0.8258
0.0000 0.4976 0.9992
0.0000 0.0008 0.5024
0.0000 0.6243 0.3757
0.0000 0.8773 0.8749
0.0000 0.1251 0.1227
0.0000 0.3751 0.6249
```

Summary:
D(E_F): 0.7959 states/eV per atom
E_tot: -45.376 eV per cell
spin magnetization: 0.00 μB/cell

***

3.
This record from Alexandria via LeMat-Bulk describes an optimized crystal structure of Tb7SmEr5. The functional is GGA-PBE.

POSCAR file:
```
Tb7SmEr5
1.0
6.2457 0.0000 2.2887
2.9940 8.0063 1.4961
0.3654 -0.1285 8.6691
Tb Er Sm
7 5 1
direct
0.0183 0.3094 0.6539
0.2677 0.2323 0.2323
0.0183 0.6539 0.3094
0.5201 0.1514 0.8083
0.5759 0.4241 0.4241
0.5201 0.8083 0.1514
0.2694 0.7306 0.7306
0.0033 0.0017 0.4609
0.7703 0.7297 0.7297
0.5341 0.4609 0.0017
0.0033 0.4609 0.0017
0.5341 0.0017 0.4609
0.9649 0.0351 0.0351
```

Summary:
D(E_F): 1.9613 states/eV per atom
spin magnetization: 0.00 μB/cell
relative energy among the computed polymorphs: 0.04 eV per formula unit

***

4.
This record from Alexandria via LeMat-Bulk describes an optimized crystal structure of TbSm4Er10. The functional is GGA-PBE.

POSCAR file:
```
TbSm4Er10
1.0
0.1313 -1.1451 9.3175
3.8497 6.5389 -5.5288
-9.0805 2.0555 -1.2104
Sm Er Tb
4 10 1
direct
0.3993 0.7989 0.1982
0.6007 0.2011 0.8018
0.7989 0.6007 0.3996
0.2011 0.3993 0.6004
0.6522 0.5515 0.7014
0.3478 0.4485 0.2986
0.4485 0.1498 0.1007
0.1498 0.0492 0.7014
0.0492 0.3478 0.8993
0.7500 0.2500 0.5000
0.5515 0.8502 0.8993
0.9508 0.6522 0.1007
0.2500 0.7500 0.5000
0.8502 0.9508 0.2986
0.0000 0.0000 0.0000
```

Summary:
D(E_F): 1.3775 states/eV per atom
E_tot: -57.812 eV per cell
spin magnetization: 0.00 μB/cell

***

5.
This record from Alexandria via LeMat-Bulk describes an optimized crystal structure of Tb4Sm4Er. The functional is GGA-PBE.

POSCAR file:
```
Tb4Sm4Er
1.0
-0.6028 -0.2052 5.0238
2.2269 -7.2768 2.5222
6.8154 2.4068 3.4683
Sm Tb Er
4 4 1
direct
0.6682 0.3317 0.3319
0.0001 0.6681 0.3317
0.9999 0.3319 0.6683
0.3318 0.6683 0.6681
0.6659 0.6680 0.0001
0.3340 0.0001 0.3320
0.6660 0.9999 0.6680
0.3341 0.3320 0.9999
0.0000 0.0000 0.0000
```

Summary:
D(E_F): 1.4768 states/eV per atom
spin magnetization: 0.00 μB/cell
relative energy among the computed polymorphs: 0.00 eV per formula unit

***

6.
This record from Alexandria via LeMat-Bulk describes an optimized crystal structure of Tb2Sm7Er2. The functional is GGA-PBE.

POSCAR file:
```
Tb2Sm7Er2
1.0
-3.0995 3.7602 -2.8004
6.3570 1.6101 -4.8739
-4.0359 -8.4180 -1.1963
Sm Tb Er
7 2 2
direct
0.8648 0.7819 0.7295
0.8665 0.1931 0.7330
0.6627 0.7859 0.3254
0.1352 0.0524 0.2705
0.5000 0.9195 0.0000
0.1335 0.4601 0.2670
0.3373 0.4605 0.6746
0.7010 0.3226 0.4020
0.2990 0.9206 0.5980
0.5000 0.3353 0.0000
0.0000 0.6221 0.0000
```

Summary:
D(E_F): 1.5214 states/eV per atom
spin magnetization: 0.00 μB/cell
relative energy among the computed polymorphs: 0.00 eV per formula unit

***

Copy entry 2 word for word.
This record from Alexandria via LeMat-Bulk describes an optimized crystal structure of Tb3Sm3Er4. The functional is GGA-PBE.

POSCAR file:
```
Tb3Sm3Er4
1.0
3.6634 0.0000 0.0000
0.0000 9.4157 -0.0504
0.0000 0.0324 9.4158
Sm Tb Er
3 3 4
direct
0.5000 0.8263 0.1737
0.5000 0.6739 0.6745
0.5000 0.3255 0.3261
0.5000 0.1742 0.8258
0.0000 0.4976 0.9992
0.0000 0.0008 0.5024
0.0000 0.6243 0.3757
0.0000 0.8773 0.8749
0.0000 0.1251 0.1227
0.0000 0.3751 0.6249
```

Summary:
D(E_F): 0.7959 states/eV per atom
E_tot: -45.376 eV per cell
spin magnetization: 0.00 μB/cell

***

Question: Which value of D(E_F) does entry 5 give?
Answer: 1.4768 states/eV per atom

***

Repeat the third record exactly.
This record from Alexandria via LeMat-Bulk describes an optimized crystal structure of Tb7SmEr5. The functional is GGA-PBE.

POSCAR file:
```
Tb7SmEr5
1.0
6.2457 0.0000 2.2887
2.9940 8.0063 1.4961
0.3654 -0.1285 8.6691
Tb Er Sm
7 5 1
direct
0.0183 0.3094 0.6539
0.2677 0.2323 0.2323
0.0183 0.6539 0.3094
0.5201 0.1514 0.8083
0.5759 0.4241 0.4241
0.5201 0.8083 0.1514
0.2694 0.7306 0.7306
0.0033 0.0017 0.4609
0.7703 0.7297 0.7297
0.5341 0.4609 0.0017
0.0033 0.4609 0.0017
0.5341 0.0017 0.4609
0.9649 0.0351 0.0351
```

Summary:
D(E_F): 1.9613 states/eV per atom
spin magnetization: 0.00 μB/cell
relative energy among the computed polymorphs: 0.04 eV per formula unit

***

Repeat the second record exactly.
This record from Alexandria via LeMat-Bulk describes an optimized crystal structure of Tb3Sm3Er4. The functional is GGA-PBE.

POSCAR file:
```
Tb3Sm3Er4
1.0
3.6634 0.0000 0.0000
0.0000 9.4157 -0.0504
0.0000 0.0324 9.4158
Sm Tb Er
3 3 4
direct
0.5000 0.8263 0.1737
0.5000 0.6739 0.6745
0.5000 0.3255 0.3261
0.5000 0.1742 0.8258
0.0000 0.4976 0.9992
0.0000 0.0008 0.5024
0.0000 0.6243 0.3757
0.0000 0.8773 0.8749
0.0000 0.1251 0.1227
0.0000 0.3751 0.6249
```

Summary:
D(E_F): 0.7959 states/eV per atom
E_tot: -45.376 eV per cell
spin magnetization: 0.00 μB/cell